No. 1
## CdCu2Pt (GGA-PBE)

Data for CdCu2Pt after structural relaxation.

Summary:
ΔE_f	-0.097	eV per atom
theoretical density	11971	kg/m³
DOS(E_F)	1.2	states/eV/f.u.

Geometry as POSCAR:
```
CdCu2Pt
1.0
2.838 0.000 0.000
0.000 3.755 0.000
-0.040 0.000 5.657
Cd Cu Pt
1 2 1
direct
0.000 0.000 0.000
0.499 0.500 0.271
0.501 0.500 0.729
0.000 0.000 0.500
```


No. 2
## PmGa3CoRh (GGA-PBE)

Data for PmGa3CoRh after structural relaxation.

Summary:
ΔE_f	-0.411	eV per atom
theoretical density	7584	kg/m³
DOS(E_F)	2.6	states/eV/f.u.

Geometry as POSCAR:
```
PmGa3CoRh
1.0
3.784 -5.326 0.000
3.784 5.326 0.000
0.000 0.000 5.607
Pm Ga Co Rh
2 6 2 2
direct
0.216 0.784 0.750
0.784 0.216 0.250
0.248 0.248 0.000
0.248 0.248 0.500
0.320 0.680 0.250
0.680 0.320 0.750
0.752 0.752 0.000
0.752 0.752 0.500
0.464 0.536 0.750
0.536 0.464 0.250
0.090 0.910 0.250
0.910 0.090 0.750
```


No. 3
## LaMoN3 (GGA-PBE)

Data for LaMoN3 after structural relaxation.

Summary:
E_form (uncorrected)	-0.4303	eV/atom
theoretical density	6466	kg/m³
DOS(E_F)	2.6	states/eV/f.u.

Geometry as POSCAR:
```
LaMoN3
1.0
6.186 -1.625 0.000
6.186 1.625 0.000
-0.346 0.000 3.536
La Mo N
1 1 3
direct
0.000 0.000 0.000
0.272 0.272 0.421
0.340 0.340 0.940
0.562 0.562 0.530
0.664 0.664 0.433
```


No. 4
## NdUCl6 (GGA-PBE)

Data for NdUCl6 after structural relaxation.

Summary:
E_form (uncorrected)	-1.9368	eV/atom
theoretical density	3751	kg/m³
DOS(E_F)	1.9	states/eV/f.u.

Geometry as POSCAR:
```
NdUCl6
1.0
6.888 0.000 0.000
-3.444 5.965 0.000
0.000 0.000 12.823
Nd U Cl
2 2 12
direct
0.000 0.000 0.000
0.000 0.000 0.500
0.333 0.667 0.250
0.667 0.333 0.750
0.014 0.334 0.124
0.014 0.680 0.376
0.320 0.334 0.376
0.320 0.986 0.124
0.334 0.014 0.624
0.334 0.320 0.876
0.666 0.680 0.124
0.666 0.986 0.376
0.680 0.014 0.876
0.680 0.666 0.624
0.986 0.320 0.624
0.986 0.666 0.876
```